Density functional theory data (PBE) for a relaxed structure of TlVRhSe3.

Computed properties:
volume	138.5	Å³/f.u.
total magnetization	0.0	Bohr magnetons per cell
total DFT energy (no corrections)	-5.35	eV per atom
crystal system	monoclinic
D(E_F)	0.63	states/eV per atom
symmetry	No. 11

Cell: 3.6184 8.3961 10.1161 Å, 115.69 90.00 90.00°
Sites, in units of the cell vectors:
V 0.7500 0.9252 0.4002
V 0.2500 0.0748 0.5998
Se 0.2500 0.5432 0.8842
Se 0.7500 0.8935 0.1531
Se 0.2500 0.1065 0.8469
Se 0.7500 0.4568 0.1158
Se 0.2500 0.7474 0.4389
Se 0.7500 0.2526 0.5611
Tl 0.2500 0.2695 0.2842
Tl 0.7500 0.7305 0.7158
Rh 0.7500 0.3188 0.8406
Rh 0.2500 0.6812 0.1594